1.
Material: LuNbCuAs
Method: DFT, GGA-PBE
State: optimized geometry

Structure (CIF):
```
data_LuNbCuAs
_chemical_formula_sum 'Lu1 Nb1 Cu1 As1'
_space_group_name_H-M_alt 'P 1'
_space_group_IT_number 1
_space_group_name_Hall 'P 1'
_cell_length_a 4.647
_cell_length_b 4.647
_cell_length_c 4.647
_cell_angle_alpha 60.00
_cell_angle_beta 60.00
_cell_angle_gamma 60.00
loop_
_atom_site_label
_atom_site_fract_x
_atom_site_fract_y
_atom_site_fract_z
Cu1 0.750 0.750 0.750
As1 0.000 0.000 0.000
Nb1 0.250 0.250 0.250
Lu1 0.500 0.500 0.500
```

Output
The energy above the most stable polymorph in this dataset comes out at 0 meV/atom. The final energy comes out at -5.4982 eV/atom. Its total magnetization is 0.48 μB per formula unit.

***

2.
Material: Li2MgZnSn2Pd2
Method: DFT, GGA-PBE
State: optimized geometry

Structure (CIF):
```
data_Li2MgZnSn2Pd2
_chemical_formula_sum 'Li2 Mg1 Zn1 Sn2 Pd2'
_space_group_name_H-M_alt 'P 1'
_space_group_IT_number 1
_space_group_name_Hall 'P 1'
_cell_length_a 4.569
_cell_length_b 4.569
_cell_length_c 6.432
_cell_angle_alpha 90.00
_cell_angle_beta 90.00
_cell_angle_gamma 90.00
loop_
_atom_site_label
_atom_site_fract_x
_atom_site_fract_y
_atom_site_fract_z
Li1 0.000 0.500 0.241
Li2 0.500 0.000 0.759
Sn1 0.000 0.000 0.000
Sn2 0.500 0.500 0.500
Pd1 0.000 0.500 0.753
Pd2 0.500 0.000 0.247
Mg1 0.000 0.000 0.500
Zn1 0.500 0.500 0.000
```

Output
The final energy comes out at -3.6478 eV/atom.

***

3.
Material: PrGdP2Pd2
Method: DFT, GGA-PBE
State: optimized geometry

Structure (CIF):
```
data_PrGdP2Pd2
_chemical_formula_sum 'Pr1 Gd1 P2 Pd2'
_space_group_name_H-M_alt 'P 1'
_space_group_IT_number 1
_space_group_name_Hall 'P 1'
_cell_length_a 4.214
_cell_length_b 4.214
_cell_length_c 7.817
_cell_angle_alpha 90.00
_cell_angle_beta 90.00
_cell_angle_gamma 120.00
loop_
_atom_site_label
_atom_site_fract_x
_atom_site_fract_y
_atom_site_fract_z
Pr1 0.000 0.000 0.250
Gd1 0.000 0.000 0.750
Pd1 0.333 0.667 0.991
Pd2 0.667 0.333 0.510
P1 0.667 0.333 0.992
P2 0.333 0.667 0.507
```

Output
The final energy comes out at -6.3504 eV/atom. Its total magnetization is 0.00 μB per formula unit.

***

4.
Material: Li4GdTaO6
Method: DFT, GGA-PBE
State: optimized geometry

Structure (CIF):
```
data_Li4GdTaO6
_chemical_formula_sum 'Li4 Gd1 Ta1 O6'
_space_group_name_H-M_alt 'P 1'
_space_group_IT_number 1
_space_group_name_Hall 'P 1'
_cell_length_a 5.472
_cell_length_b 5.472
_cell_length_c 5.210
_cell_angle_alpha 99.72
_cell_angle_beta 99.72
_cell_angle_gamma 120.31
loop_
_atom_site_label
_atom_site_fract_x
_atom_site_fract_y
_atom_site_fract_z
O1 0.935 0.609 0.231
O2 0.786 0.754 0.759
O3 0.094 0.461 0.762
O4 0.246 0.214 0.241
O5 0.391 0.065 0.769
O6 0.539 0.906 0.238
Li1 0.644 0.356 0.500
Li2 0.338 0.662 0.500
Li3 0.024 0.976 0.500
Li4 0.501 0.499 0.000
Gd1 0.834 0.166 0.000
Ta1 0.168 0.832 0.000
```

Output
The final energy comes out at -7.0675 eV/atom. Its total magnetization is 0.00 μB per formula unit.

***

5.
Material: CsTa2P5O18
Method: DFT, GGA-PBE
State: optimized geometry

Structure (CIF):
```
data_CsTa2P5O18
_chemical_formula_sum 'Cs2 Ta4 P10 O36'
_space_group_name_H-M_alt 'P 1'
_space_group_IT_number 1
_space_group_name_Hall 'P 1'
_cell_length_a 5.096
_cell_length_b 10.731
_cell_length_c 14.269
_cell_angle_alpha 83.55
_cell_angle_beta 86.67
_cell_angle_gamma 84.56
loop_
_atom_site_label
_atom_site_fract_x
_atom_site_fract_y
_atom_site_fract_z
O1 0.763 0.454 0.784
O2 0.220 0.985 0.891
O3 0.149 0.428 0.083
O4 0.424 0.561 0.647
O5 0.754 0.228 0.441
O6 0.780 0.015 0.109
O7 0.552 0.295 0.673
O8 0.258 0.564 0.488
O9 0.690 0.869 0.400
O10 0.539 0.405 0.940
O11 0.448 0.705 0.327
O12 0.944 0.600 0.623
O13 0.237 0.546 0.216
O14 0.821 0.151 0.247
O15 0.563 0.838 0.072
O16 0.056 0.400 0.377
O17 0.338 0.968 0.200
O18 0.437 0.162 0.928
O19 0.773 0.826 0.226
O20 0.742 0.436 0.512
O21 0.576 0.439 0.353
O22 0.972 0.654 0.084
O23 0.925 0.663 0.350
O24 0.028 0.346 0.916
O25 0.246 0.772 0.559
O26 0.945 0.815 0.919
O27 0.572 0.236 0.100
O28 0.851 0.572 0.917
O29 0.662 0.032 0.800
O30 0.075 0.337 0.650
O31 0.310 0.131 0.600
O32 0.428 0.764 0.900
O33 0.461 0.595 0.060
O34 0.055 0.185 0.081
O35 0.179 0.849 0.753
O36 0.227 0.174 0.774
Ta1 0.699 0.712 0.989
Ta2 0.747 0.447 0.645
Ta3 0.301 0.288 0.011
Ta4 0.253 0.553 0.355
P1 0.203 0.557 0.111
P2 0.191 0.851 0.855
P3 0.297 0.229 0.665
P4 0.219 0.636 0.579
P5 0.781 0.364 0.421
P6 0.703 0.771 0.335
P7 0.809 0.149 0.145
P8 0.797 0.443 0.889
P9 0.414 0.086 0.843
P10 0.586 0.914 0.157
Cs1 0.718 0.907 0.615
Cs2 0.282 0.093 0.385
```

Output
The final energy comes out at -7.7997 eV/atom. Its total magnetization is 0.00 μB per formula unit.

***

6.
Material: CdSbOs
Method: DFT, GGA-PBE
State: optimized geometry

Structure (CIF):
```
data_CdSbOs
_chemical_formula_sum 'Cd1 Sb1 Os1'
_space_group_name_H-M_alt 'P 1'
_space_group_IT_number 1
_space_group_name_Hall 'P 1'
_cell_length_a 4.508
_cell_length_b 4.508
_cell_length_c 4.508
_cell_angle_alpha 60.00
_cell_angle_beta 60.00
_cell_angle_gamma 60.00
loop_
_atom_site_label
_atom_site_fract_x
_atom_site_fract_y
_atom_site_fract_z
Cd1 0.500 0.500 0.500
Os1 0.000 0.000 0.000
Sb1 0.250 0.250 0.250
```

Output
The final energy comes out at -4.5905 eV/atom. Its total magnetization is 0.00 μB per formula unit.

***

7.
Material: NaAlNiGe
Method: DFT, GGA-PBE
State: optimized geometry

Structure (CIF):
```
data_NaAlNiGe
_chemical_formula_sum 'Na1 Al1 Ni1 Ge1'
_space_group_name_H-M_alt 'P 1'
_space_group_IT_number 1
_space_group_name_Hall 'P 1'
_cell_length_a 4.469
_cell_length_b 4.469
_cell_length_c 4.469
_cell_angle_alpha 60.00
_cell_angle_beta 60.00
_cell_angle_gamma 60.00
loop_
_atom_site_label
_atom_site_fract_x
_atom_site_fract_y
_atom_site_fract_z
Al1 0.000 0.000 0.000
Na1 0.750 0.750 0.750
Ge1 0.250 0.250 0.250
Ni1 0.500 0.500 0.500
```

Output
The energy above the most stable polymorph in this dataset comes out at 155 meV/atom. The final energy comes out at -3.5989 eV/atom. Its total magnetization is 0.00 μB per formula unit.

***

8.
Material: K23Pt6
Method: DFT, GGA-PBE
State: optimized geometry

Structure (CIF):
```
data_K23Pt6
_chemical_formula_sum 'K23 Pt6'
_space_group_name_H-M_alt 'P 1'
_space_group_IT_number 1
_space_group_name_Hall 'P 1'
_cell_length_a 12.248
_cell_length_b 12.248
_cell_length_c 12.248
_cell_angle_alpha 60.00
_cell_angle_beta 60.00
_cell_angle_gamma 60.00
loop_
_atom_site_label
_atom_site_fract_x
_atom_site_fract_y
_atom_site_fract_z
K1 0.608 0.608 0.176
K2 0.000 0.000 0.335
K3 0.392 0.392 0.824
K4 0.176 0.608 0.608
K5 0.000 0.665 0.335
K6 0.000 0.000 0.665
K7 0.335 0.000 0.665
K8 0.335 0.665 0.000
K9 0.000 0.665 0.000
K10 0.608 0.608 0.608
K11 0.335 0.000 0.000
K12 0.000 0.335 0.000
K13 0.665 0.000 0.000
K14 0.665 0.000 0.335
K15 0.000 0.000 0.000
K16 0.392 0.824 0.392
K17 0.392 0.392 0.392
K18 0.824 0.392 0.392
K19 0.750 0.750 0.750
K20 0.665 0.335 0.000
K21 0.250 0.250 0.250
K22 0.608 0.176 0.608
K23 0.000 0.335 0.665
Pt1 0.267 0.733 0.267
Pt2 0.733 0.733 0.267
Pt3 0.267 0.267 0.733
Pt4 0.733 0.267 0.733
Pt5 0.733 0.267 0.267
Pt6 0.267 0.733 0.733
```

Output
The final energy comes out at -2.0931 eV/atom. Its total magnetization is 1.71 μB per formula unit.

***

9.
Material: Li5Hg4Pb
Method: DFT, GGA-PBE
State: optimized geometry

Structure (CIF):
```
data_Li5Hg4Pb
_chemical_formula_sum 'Li5 Hg4 Pb1'
_space_group_name_H-M_alt 'P 1'
_space_group_IT_number 1
_space_group_name_Hall 'P 1'
_cell_length_a 3.358
_cell_length_b 3.358
_cell_length_c 16.783
_cell_angle_alpha 90.00
_cell_angle_beta 90.00
_cell_angle_gamma 90.00
loop_
_atom_site_label
_atom_site_fract_x
_atom_site_fract_y
_atom_site_fract_z
Li1 0.500 0.500 0.113
Li2 0.500 0.500 0.500
Li3 0.500 0.500 0.304
Li4 0.500 0.500 0.696
Li5 0.500 0.500 0.887
Pb1 0.000 0.000 0.000
Hg1 0.000 0.000 0.402
Hg2 0.000 0.000 0.598
Hg3 0.000 0.000 0.792
Hg4 0.000 0.000 0.208
```

Output
The final energy comes out at -1.7937 eV/atom.

***

10.
Material: HoErFe6Ni2B2
Method: DFT, GGA-PBE
State: optimized geometry

Structure (CIF):
```
data_HoErFe6Ni2B2
_chemical_formula_sum 'Ho1 Er1 Fe6 Ni2 B2'
_space_group_name_H-M_alt 'P 1'
_space_group_IT_number 1
_space_group_name_Hall 'P 1'
_cell_length_a 4.994
_cell_length_b 4.994
_cell_length_c 7.060
_cell_angle_alpha 90.00
_cell_angle_beta 90.00
_cell_angle_gamma 120.00
loop_
_atom_site_label
_atom_site_fract_x
_atom_site_fract_y
_atom_site_fract_z
Ni1 0.333 0.667 0.000
Ni2 0.667 0.333 0.000
Fe1 0.000 0.500 0.286
Fe2 0.000 0.500 0.714
Fe3 0.500 0.000 0.714
Fe4 0.500 0.500 0.714
Fe5 0.500 0.500 0.286
Fe6 0.500 0.000 0.286
B1 0.667 0.333 0.500
B2 0.333 0.667 0.500
Er1 0.000 0.000 0.000
Ho1 0.000 0.000 0.500
```

Output
The energy above the most stable polymorph in this dataset comes out at 3 meV/atom. The final energy comes out at -7.2332 eV/atom. Its total magnetization is 11.49 μB per formula unit.

***

11.
Material: AcPmPO
Method: DFT, GGA-PBE
State: optimized geometry

Structure (CIF):
```
data_AcPmPO
_chemical_formula_sum 'Ac2 Pm2 P2 O2'
_space_group_name_H-M_alt 'P 1'
_space_group_IT_number 1
_space_group_name_Hall 'P 1'
_cell_length_a 4.483
_cell_length_b 7.814
_cell_length_c 6.270
_cell_angle_alpha 90.00
_cell_angle_beta 90.00
_cell_angle_gamma 90.00
loop_
_atom_site_label
_atom_site_fract_x
_atom_site_fract_y
_atom_site_fract_z
O1 0.500 0.339 0.370
O2 0.500 0.661 0.870
P1 0.000 0.820 0.440
P2 0.000 0.180 0.940
Pm1 0.500 0.619 0.502
Pm2 0.500 0.381 0.002
Ac1 0.000 0.798 0.942
Ac2 0.000 0.202 0.442
```

Output
The energy above the most stable polymorph in this dataset comes out at 2 meV/atom. The final energy comes out at -6.7546 eV/atom. Its total magnetization is 0.01 μB per formula unit.

***

Please write out number 10 again, unchanged.
Material: HoErFe6Ni2B2
Method: DFT, GGA-PBE
State: optimized geometry

Structure (CIF):
```
data_HoErFe6Ni2B2
_chemical_formula_sum 'Ho1 Er1 Fe6 Ni2 B2'
_space_group_name_H-M_alt 'P 1'
_space_group_IT_number 1
_space_group_name_Hall 'P 1'
_cell_length_a 4.994
_cell_length_b 4.994
_cell_length_c 7.060
_cell_angle_alpha 90.00
_cell_angle_beta 90.00
_cell_angle_gamma 120.00
loop_
_atom_site_label
_atom_site_fract_x
_atom_site_fract_y
_atom_site_fract_z
Ni1 0.333 0.667 0.000
Ni2 0.667 0.333 0.000
Fe1 0.000 0.500 0.286
Fe2 0.000 0.500 0.714
Fe3 0.500 0.000 0.714
Fe4 0.500 0.500 0.714
Fe5 0.500 0.500 0.286
Fe6 0.500 0.000 0.286
B1 0.667 0.333 0.500
B2 0.333 0.667 0.500
Er1 0.000 0.000 0.000
Ho1 0.000 0.000 0.500
```

Output
The energy above the most stable polymorph in this dataset comes out at 3 meV/atom. The final energy comes out at -7.2332 eV/atom. Its total magnetization is 11.49 μB per formula unit.